[1]
The following is a PBE calculation of a relaxed RbAuSO crystal, from OQMD.

Structure (CIF):
```
data_RbAuSO
_symmetry_space_group_name_H-M 'P 1'
_symmetry_Int_Tables_number 1
_symmetry_space_group_name_Hall 'P 1'
_cell_length_a 7.9055
_cell_length_b 8.7821
_cell_length_c 5.6350
_cell_angle_alpha 90.00
_cell_angle_beta 90.00
_cell_angle_gamma 90.00
loop_
_atom_site_label
_atom_site_type_symbol
_atom_site_fract_x
_atom_site_fract_y
_atom_site_fract_z
_atom_site_occupancy
Rb1 Rb 0.0979 0.1546 0.0000 1
Rb2 Rb 0.4021 0.1546 0.5000 1
Rb3 Rb 0.5979 0.8454 0.0000 1
Rb4 Rb 0.9021 0.8454 0.5000 1
Au1 Au 0.1206 0.6856 0.9830 1
Au2 Au 0.3794 0.6856 0.4830 1
Au3 Au 0.6206 0.3144 0.9830 1
Au4 Au 0.8794 0.3144 0.4830 1
S1 S 0.1873 0.5199 0.6630 1
S2 S 0.3127 0.5199 0.1630 1
S3 S 0.6873 0.4801 0.6630 1
S4 S 0.8127 0.4801 0.1630 1
O1 O 0.0336 0.1432 0.5056 1
O2 O 0.4664 0.1432 0.0056 1
O3 O 0.5336 0.8568 0.5056 1
O4 O 0.9664 0.8568 0.0056 1
```

Summary:
**Excess energy over the best structure of this formula in the dataset**: 0.98 eV per formula unit
**Space group**: Pca2_1 (29)

[2]
The following is a PBE calculation of a relaxed Rb2ScAuBr6 crystal, from OQMD.

Structure (CIF):
```
data_Rb2ScAuBr6
_symmetry_space_group_name_H-M 'P 1'
_symmetry_Int_Tables_number 1
_symmetry_space_group_name_Hall 'P 1'
_cell_length_a 7.7536
_cell_length_b 7.7536
_cell_length_c 7.7536
_cell_angle_alpha 61.02
_cell_angle_beta 61.02
_cell_angle_gamma 61.02
loop_
_atom_site_label
_atom_site_type_symbol
_atom_site_fract_x
_atom_site_fract_y
_atom_site_fract_z
_atom_site_occupancy
Rb1 Rb 0.0000 0.0000 0.0000 1
Rb2 Rb 0.4960 0.4960 0.4960 1
Sc1 Sc 0.7485 0.7485 0.7485 1
Au1 Au 0.1832 0.1832 0.1832 1
Br1 Br 0.0625 0.9281 0.5535 1
Br2 Br 0.4617 0.5794 0.9968 1
Br3 Br 0.5535 0.0625 0.9281 1
Br4 Br 0.5794 0.9968 0.4617 1
Br5 Br 0.9281 0.5535 0.0625 1
Br6 Br 0.9968 0.4617 0.5794 1
```

Summary:
**VASP energy**: -3.532 eV/atom
**Space group**: R3 (146)

[3]
The following is a PBE calculation of a relaxed NaSm3Zr6 crystal, from OQMD.

Structure (CIF):
```
data_NaSm3Zr6
_symmetry_space_group_name_H-M 'P 1'
_symmetry_Int_Tables_number 1
_symmetry_space_group_name_Hall 'P 1'
_cell_length_a 7.7905
_cell_length_b 7.7905
_cell_length_c 7.7905
_cell_angle_alpha 123.86
_cell_angle_beta 123.86
_cell_angle_gamma 83.43
loop_
_atom_site_label
_atom_site_type_symbol
_atom_site_fract_x
_atom_site_fract_y
_atom_site_fract_z
_atom_site_occupancy
Na1 Na 0.0000 0.0000 0.0000 1
Sm1 Sm 0.2500 0.7500 0.5000 1
Sm2 Sm 0.5000 0.5000 0.0000 1
Sm3 Sm 0.7500 0.2500 0.5000 1
Zr1 Zr 0.0000 0.3313 0.3313 1
Zr2 Zr 0.0000 0.6687 0.6687 1
Zr3 Zr 0.2352 0.2352 0.0000 1
Zr4 Zr 0.3313 0.0000 0.3313 1
Zr5 Zr 0.6687 0.0000 0.6687 1
Zr6 Zr 0.7648 0.7648 0.0000 1
```

Summary:
**VASP energy**: -5.341 eV/atom
**Space group**: I4/mmm (139)